Computed, not measured: a relaxed structure of CrBPbO4 at the PBE with a Hubbard U level of DFT.

## Properties
Energy above the most stable polymorph in this dataset = 241 meV per atom
DFT total energy = -49.7 eV per formula unit
Magnetic moment = 0.429 μB per atom
V = 11.94 A^3/atom

Structure (extended XYZ):
```
14
Lattice="-4.096 -2.793 -0.691 2.107 -3.766 2.733 -0.909 3.655 5.737" Properties=species:S:1:pos:R:3 pbc="T T T"
Pb -2.113 -1.499 6.724
O 1.561 -2.701 4.453
Cr -0.880 0.388 3.600
O -3.480 -1.953 4.597
O -2.173 -0.888 2.838
O 0.582 -0.951 3.183
O -0.725 -2.016 4.942
O -0.351 -3.252 2.950
B -3.170 -0.666 3.912
Cr -2.018 -3.292 4.179
B 0.272 -2.238 3.867
Pb -0.785 -1.405 1.056
O -2.547 0.348 4.830
O -4.459 -0.203 3.327
```